# Na2AlFeF8 (PBE with a Hubbard U, optimized geometry)
# * spin magnetization: 3.0 Bohr magnetons per cell
# * E_tot: -60.76 eV/cell
# * DOS at the Fermi energy: 0.000 states/eV/atom
data_Na2AlFeF8
_chemical_formula_sum 'Na2 Al1 Fe1 F8'
_cell_length_a 4.976
_cell_length_b 5.007
_cell_length_c 6.131
_cell_angle_alpha 89.55
_cell_angle_beta 89.55
_cell_angle_gamma 86.90
_symmetry_space_group_name_H-M 'P -1'
_symmetry_Int_Tables_number 2
loop_
_symmetry_equiv_pos_as_xyz
'x,y,z'
'-x,-y,-z'
loop_
_atom_site_label
_atom_site_type_symbol
_atom_site_fract_x
_atom_site_fract_y
_atom_site_fract_z
Na1 Na 0.001 0.002 0.242
Al1 Al 0.500 0.500 0.000
Fe1 Fe 0.500 0.500 0.500
F1 F 0.234 0.769 0.500
F2 F 0.245 0.759 0.000
F3 F 0.325 0.330 0.231
F4 F 0.330 0.335 0.759